A plane-wave DFT calculation with PBE-GGA was carried out for CaY4Ru after structural relaxation.

ρ: 4.606 g/cm³
Space-group type: F-43m

a b c (Å): 6.3269 6.3269 6.3269
angles (deg): 60.00 60.00 60.00
Fractional coordinates of all 6 atoms:
Ca  0.0000  0.0000  0.0000
Y  0.3766  0.3766  0.3766
Y  0.3766  0.3766  0.8703
Y  0.3766  0.8703  0.3766
Y  0.8703  0.3766  0.3766
Ru  0.7500  0.7500  0.7500

A plane-wave DFT calculation with PBE-GGA was carried out for CaY3Ru after structural relaxation.

ρ: 4.129 g/cm³
Excess energy over the best structure of this formula in the dataset: 1218 meV/atom
Space-group type: P6_3/mmc

a b c (Å): 4.7055 4.7055 17.1087
angles (deg): 90.00 90.00 120.00
Fractional coordinates of all 10 atoms:
Ca  0.3333  0.6667  0.2500
Ca  0.6667  0.3333  0.7500
Y  0.0000  0.0000  0.2500
Y  0.0000  0.0000  0.7500
Y  0.3333  0.6667  0.0622
Y  0.3333  0.6667  0.4378
Y  0.6667  0.3333  0.5622
Y  0.6667  0.3333  0.9378
Ru  0.0000  0.0000  0.0000
Ru  0.0000  0.0000  0.5000

A plane-wave DFT calculation with PBE-GGA was carried out for CaY2Ru after structural relaxation.

ρ: 4.880 g/cm³
Excess energy over the best structure of this formula in the dataset: 155 meV/atom
Space-group type: Imm2

a b c (Å): 3.5666 5.1774 11.7566
angles (deg): 90.00 90.00 90.00
Fractional coordinates of all 8 atoms:
Ca  0.0000  0.0000  0.0000
Ca  0.5000  0.5000  0.5000
Y  0.0000  0.0000  0.3777
Y  0.0000  0.5000  0.1908
Y  0.5000  0.0000  0.6908
Y  0.5000  0.5000  0.8777
Ru  0.0000  0.5000  0.7016
Ru  0.5000  0.0000  0.2016

A plane-wave DFT calculation with PBE-GGA was carried out for CaY3Ru after structural relaxation.

ρ: 4.340 g/cm³
Excess energy over the best structure of this formula in the dataset: 40 meV/atom
Space-group type: C2/c

a b c (Å): 10.0822 10.0822 6.3390
angles (deg): 99.77 99.77 92.39
Fractional coordinates of all 20 atoms:
Ca  0.0733  0.1925  0.0781
Ca  0.1925  0.0733  0.5781
Ca  0.8075  0.9267  0.4219
Ca  0.9267  0.8075  0.9219
Y  0.1139  0.7097  0.4499
Y  0.1529  0.5200  0.9037
Y  0.2903  0.8861  0.0501
Y  0.3312  0.4375  0.4404
Y  0.4375  0.3312  0.9404
Y  0.4800  0.8471  0.5963
Y  0.5200  0.1529  0.4037
Y  0.5625  0.6688  0.0596
Y  0.6688  0.5625  0.5596
Y  0.7097  0.1139  0.9499
Y  0.8471  0.4800  0.0963
Y  0.8861  0.2903  0.5501
Ru  0.3340  0.6660  0.7500
Ru  0.3350  0.6650  0.2500
Ru  0.6650  0.3350  0.7500
Ru  0.6660  0.3340  0.2500

Number 1: ΔE_f 0.692 eV/atom. Number 2: ΔE_f 1.031 eV/atom. Number 3: ΔE_f -0.052 eV/atom. Number 4: ΔE_f -0.147 eV/atom.